A geometry-optimized Er3Zn2Cd2 structure, computed with PBE.

Calculated values
Energy of formation (eV per formula unit): -2.2

```
data_Er3Zn2Cd2
_chemical_formula_sum 'Er6 Zn4 Cd4'
_cell_length_a 4.326
_cell_length_b 21.289
_cell_length_c 3.522
_cell_angle_alpha 90.00
_cell_angle_beta 90.00
_cell_angle_gamma 90.00
_symmetry_space_group_name_H-M 'C m m m'
_symmetry_Int_Tables_number 65
_symmetry_space_group_name_Hall '-C 2 2'
loop_
_atom_site_label
_atom_site_type_symbol
_atom_site_fract_x
_atom_site_fract_y
_atom_site_fract_z
Er1 Er 0.000 0.000 0.000
Er2 Er 0.000 0.165 0.000
Zn1 Zn 0.000 0.281 0.500
Cd1 Cd 0.000 0.419 0.500
```

***

A geometry-optimized Er3Zn3Cd2 structure, computed with PBE.

Calculated values
Energy of formation (eV per formula unit): -2.2

```
data_Er3Zn3Cd2
_chemical_formula_sum 'Er6 Zn6 Cd4'
_cell_length_a 3.623
_cell_length_b 5.003
_cell_length_c 19.444
_cell_angle_alpha 90.00
_cell_angle_beta 90.00
_cell_angle_gamma 90.00
_symmetry_space_group_name_H-M 'I m m m'
_symmetry_Int_Tables_number 71
_symmetry_space_group_name_Hall '-I 2 2'
loop_
_atom_site_label
_atom_site_type_symbol
_atom_site_fract_x
_atom_site_fract_y
_atom_site_fract_z
Er1 Er 0.000 0.000 0.000
Er2 Er 0.000 0.500 0.127
Zn1 Zn 0.000 0.000 0.500
Zn2 Zn 0.000 0.500 0.379
Cd1 Cd 0.000 0.000 0.235
```

***

A geometry-optimized ErZnCd3 structure, computed with PBE.

Calculated values
Energy of formation (eV per formula unit): -0.9
Distance to the lowest polymorph of the same formula (eV/f.u.): 0.00

```
data_ErZnCd3
_chemical_formula_sum 'Er2 Zn2 Cd6'
_cell_length_a 7.006
_cell_length_b 4.358
_cell_length_c 7.503
_cell_angle_alpha 90.00
_cell_angle_beta 104.29
_cell_angle_gamma 90.00
_symmetry_space_group_name_H-M 'P 1 21/m 1'
_symmetry_Int_Tables_number 11
_symmetry_space_group_name_Hall '-P 2yb'
loop_
_atom_site_label
_atom_site_type_symbol
_atom_site_fract_x
_atom_site_fract_y
_atom_site_fract_z
Er1 Er 0.200 0.250 0.166
Zn1 Zn 0.475 0.250 0.764
Cd1 Cd 0.061 0.250 0.659
Cd2 Cd 0.289 0.750 0.895
Cd3 Cd 0.348 0.750 0.521
```